Version 1
Material: TiTcAs2
Method: DFT, PBE-GGA
State: relaxed

Calculated values
Volume, Å³/cell: 68
N(E_F), states/eV/cell: 2.7

abc: 3.724 3.724 6.062
angles: 72.11 72.11 60.00
Sites, in units of the cell vectors:
As 0.087 0.087 0.739
As 0.248 0.248 0.257
Tc 0.495 0.495 0.516
Ti 0.671 0.671 0.988



Version 2
Material: TiTcAs2
Method: DFT, PBE-GGA
State: relaxed

Calculated values
Volume, Å³/cell: 64
N(E_F), states/eV/cell: 1.5

abc: 3.296 3.296 5.870
angles: 90.00 90.00 90.00
Sites, in units of the cell vectors:
As 0.000 0.000 0.663
As 0.500 0.500 0.324
Ti 0.500 0.500 0.823
Tc 0.000 0.000 0.129



Result of the stability comparison: version 1 is the least stable of them.